Ho7Er4Th: relaxed, PBE.

Its space group is C2/m, No. 12.

Cell lengths 6.6873, 6.6873, 12.5530 Å; angles 115.41, 115.41, 52.08 degrees
Last column: nearest neighbours and their distance in Å.
Element x y z (fractional)
Ho 0.0000 0.0000 0.0000  2 Th 2.94, 2 Ho 3.09
Ho 0.2087 0.2087 0.9225  4 Ho 3.09-3.40, 1 Th 3.15, 4 Er 3.24-3.36
Ho 0.2344 0.2344 0.6750  4 Ho 3.26-3.53, 2 Er 3.59
Ho 0.3684 0.3684 0.5021  4 Ho 3.19-3.53, 5 Er 3.24-3.56
Ho 0.6316 0.6316 0.4979  4 Ho 3.19-3.53, 5 Er 3.24-3.56
Ho 0.7656 0.7656 0.3250  4 Ho 3.26-3.53, 2 Er 3.59
Ho 0.7913 0.7913 0.0775  4 Ho 3.09-3.40, 1 Th 3.15, 4 Er 3.24-3.36
Er 0.0663 0.0663 0.3175  4 Ho 3.24-3.56
Er 0.3608 0.3608 0.2249  7 Ho 3.34-3.59, 2 Er 3.65
Er 0.6392 0.6392 0.7751  7 Ho 3.34-3.59, 2 Er 3.65
Er 0.9337 0.9337 0.6825  4 Ho 3.24-3.56
Th 0.5000 0.5000 0.0000  4 Ho 2.94-3.15

=====

La7YHo3: relaxed, PBE.

Its space group is P3m1, No. 156.

Cell lengths 7.2726, 7.2726, 8.7000 Å; angles 90.00, 90.00, 120.00 degrees
Last column: nearest neighbours and their distance in Å.
Element x y z (fractional)
La 0.0000 0.0000 0.0000  9 La 3.59-3.65, 3 Ho 3.70
La 0.0045 0.5022 0.0317  2 Ho 3.48, 8 La 3.59-3.79, 1 Y 3.65
La 0.1684 0.3369 0.6676  2 Ho 3.48, 7 La 3.59-3.79, 2 Y 3.64
La 0.1684 0.8316 0.6676  2 Ho 3.48, 7 La 3.59-3.79, 2 Y 3.64
La 0.4978 0.5022 0.0317  2 Ho 3.48, 8 La 3.59-3.79, 1 Y 3.65
La 0.4978 0.9955 0.0317  2 Ho 3.48, 8 La 3.59-3.79, 1 Y 3.65
La 0.6631 0.8316 0.6676  2 Ho 3.48, 7 La 3.59-3.79, 2 Y 3.64
Y 0.6667 0.3333 0.6905  3 Ho 3.63, 9 La 3.64-3.65
Ho 0.3342 0.1671 0.3499  5 La 3.48-3.70, 4 Ho 3.63-3.65, 1 Y 3.63
Ho 0.8329 0.1671 0.3499  5 La 3.48-3.70, 4 Ho 3.63-3.65, 1 Y 3.63
Ho 0.8329 0.6658 0.3499  5 La 3.48-3.70, 4 Ho 3.63-3.65, 1 Y 3.63

=====

The following formation energy values (in eV per formula unit) correspond, in order, to the records above: 3.8, 1.9.
The following VASP energy values (in eV/atom) correspond, in order, to the records above: -4.490, -4.798.